No. 1
Compound: Li2VSbO6
Source: Alexandria
Functional: GGA+U
Structure: optimized geometry

abc: 5.413 5.413 4.034
angles: 90.00 90.00 90.00
Sites, in units of the cell vectors:
Li1 0.000 0.500 0.000
Li2 0.500 0.000 0.000
V1 0.000 0.000 0.688
Sb1 0.500 0.500 0.728
O1 0.000 0.000 0.283
O2 0.243 0.243 0.790
O3 0.243 0.757 0.790
O4 0.500 0.500 0.246
O5 0.757 0.243 0.790
O6 0.757 0.757 0.790

Properties
Calculated density, Mg/m³: 3.970
VASP energy, eV per formula unit: -62.0

---

No. 2
Compound: Li6V5SbO12
Source: Alexandria
Functional: GGA+U
Structure: optimized geometry

abc: 5.291 5.291 10.526
angles: 95.05 95.05 117.94
Sites, in units of the cell vectors:
Li1 0.094 0.425 0.785
Li2 0.239 0.239 0.211
Li3 0.425 0.094 0.785
Li4 0.575 0.906 0.215
Li5 0.761 0.761 0.789
Li6 0.906 0.575 0.215
V1 0.171 0.829 0.000
V2 0.341 0.659 0.500
V3 0.500 0.500 0.000
V4 0.659 0.341 0.500
V5 0.829 0.171 0.000
Sb1 0.000 0.000 0.500
O1 0.033 0.356 0.602
O2 0.121 0.121 0.893
O3 0.197 0.543 0.113
O4 0.277 0.280 0.393
O5 0.355 0.030 0.602
O6 0.457 0.803 0.887
O7 0.543 0.197 0.113
O8 0.644 0.967 0.398
O9 0.720 0.723 0.607
O10 0.803 0.457 0.887
O11 0.879 0.879 0.107
O12 0.970 0.645 0.398

Properties
Calculated density, Mg/m³: 3.951
VASP energy, eV per formula unit: -159.0

---

No. 3
Compound: Li2V3SbO8
Source: Alexandria
Functional: GGA+U
Structure: optimized geometry

abc: 6.005 6.005 9.780
angles: 90.00 90.00 120.00
Sites, in units of the cell vectors:
Li1 0.000 0.000 0.000
Li2 0.000 0.000 0.500
Li3 0.333 0.667 0.087
Li4 0.667 0.333 0.587
V1 0.171 0.828 0.776
V2 0.172 0.343 0.776
V3 0.343 0.172 0.276
V4 0.657 0.829 0.776
V5 0.828 0.171 0.276
V6 0.829 0.657 0.276
Sb1 0.333 0.667 0.502
Sb2 0.667 0.333 0.002
O1 0.000 0.000 0.186
O2 0.000 0.000 0.686
O3 0.037 0.528 0.644
O4 0.160 0.332 0.397
O5 0.172 0.840 0.397
O6 0.332 0.160 0.897
O7 0.333 0.667 0.884
O8 0.472 0.509 0.644
O9 0.491 0.963 0.644
O10 0.509 0.472 0.144
O11 0.528 0.037 0.144
O12 0.667 0.333 0.384
O13 0.668 0.828 0.397
O14 0.828 0.668 0.897
O15 0.840 0.172 0.897
O16 0.963 0.491 0.144

Properties
Calculated density, Mg/m³: 4.528
E above lowest polymorph, eV per atom: 0.005

---

No. 4
Compound: Li3V3SbO8
Source: Alexandria
Functional: GGA+U
Structure: optimized geometry

abc: 6.104 6.104 6.107
angles: 119.88 119.88 61.02
Sites, in units of the cell vectors:
Li1 0.000 0.000 0.000
Li2 0.000 0.500 0.500
Li3 0.500 0.000 0.500
V1 0.000 0.500 0.000
V2 0.500 0.000 0.000
V3 0.500 0.500 0.500
Sb1 0.000 0.000 0.500
O1 0.225 0.759 0.262
O2 0.234 0.234 0.740
O3 0.241 0.775 0.738
O4 0.251 0.251 0.220
O5 0.749 0.749 0.780
O6 0.759 0.225 0.262
O7 0.766 0.766 0.260
O8 0.775 0.241 0.738

Properties
Calculated density, Mg/m³: 4.330
VASP energy, eV per formula unit: -100.4

---

No. 5
Compound: LiV2SbO6
Source: Alexandria
Functional: GGA+U
Structure: optimized geometry

abc: 5.356 5.404 5.485
angles: 119.42 91.04 118.38
Sites, in units of the cell vectors:
Li1 0.000 0.000 0.000
V1 0.272 0.479 0.637
V2 0.773 0.481 0.152
Sb1 0.584 0.040 0.493
O1 0.098 0.530 0.364
O2 0.448 0.397 0.845
O3 0.516 0.397 0.341
O4 0.622 0.978 0.836
O5 0.940 0.976 0.367
O6 0.980 0.528 0.839

Properties
Calculated density, Mg/m³: 4.719
VASP energy, eV per formula unit: -68.4

---

No. 6
Compound: Li2V3SbO8
Source: Alexandria
Functional: GGA+U
Structure: optimized geometry

abc: 8.620 8.620 8.620
angles: 90.00 90.00 90.00
Sites, in units of the cell vectors:
Li1 0.001 0.001 0.001
Li2 0.249 0.249 0.249
Li3 0.251 0.751 0.749
Li4 0.499 0.999 0.501
Li5 0.501 0.499 0.999
Li6 0.749 0.251 0.751
Li7 0.751 0.749 0.251
Li8 0.999 0.501 0.499
V1 0.119 0.131 0.625
V2 0.125 0.381 0.869
V3 0.131 0.625 0.119
V4 0.369 0.375 0.619
V5 0.375 0.619 0.369
V6 0.381 0.869 0.125
V7 0.619 0.369 0.375
V8 0.625 0.119 0.131
V9 0.631 0.875 0.881
V10 0.869 0.125 0.381
V11 0.875 0.881 0.631
V12 0.881 0.631 0.875
Sb1 0.125 0.875 0.375
Sb2 0.375 0.125 0.875
Sb3 0.625 0.625 0.625
Sb4 0.875 0.375 0.125
O1 0.109 0.110 0.382
O2 0.110 0.382 0.109
O3 0.114 0.614 0.886
O4 0.118 0.891 0.610
O5 0.132 0.640 0.359
O6 0.136 0.364 0.636
O7 0.140 0.141 0.868
O8 0.141 0.868 0.140
O9 0.359 0.132 0.640
O10 0.360 0.859 0.368
O11 0.364 0.636 0.136
O12 0.368 0.360 0.859
O13 0.382 0.109 0.110
O14 0.386 0.386 0.386
O15 0.390 0.618 0.609
O16 0.391 0.890 0.882
O17 0.609 0.390 0.618
O18 0.610 0.118 0.891
O19 0.614 0.886 0.114
O20 0.618 0.609 0.390
O21 0.632 0.860 0.641
O22 0.636 0.136 0.364
O23 0.640 0.359 0.132
O24 0.641 0.632 0.860
O25 0.859 0.368 0.360
O26 0.860 0.641 0.632
O27 0.864 0.864 0.864
O28 0.868 0.140 0.141
O29 0.882 0.391 0.890
O30 0.886 0.114 0.614
O31 0.890 0.882 0.391
O32 0.891 0.610 0.118

Properties
Calculated density, Mg/m³: 4.319
E above lowest polymorph, eV per atom: 0.000
Density of states at the Fermi level, states/eV/atom: 0.00

---

No. 7
Compound: Li4V5Sb3O16
Source: Alexandria
Functional: GGA+U
Structure: optimized geometry

abc: 6.117 6.216 9.785
angles: 90.89 90.16 118.84
Sites, in units of the cell vectors:
Li1 0.000 0.000 0.000
Li2 0.002 0.004 0.508
Li3 0.321 0.635 0.409
Li4 0.664 0.323 0.893
V1 0.173 0.329 0.722
V2 0.360 0.669 0.986
V3 0.669 0.823 0.719
V4 0.675 0.304 0.496
V5 0.833 0.150 0.220
Sb1 0.174 0.823 0.720
Sb2 0.344 0.155 0.222
Sb3 0.838 0.647 0.221
O1 0.013 0.992 0.819
O2 0.022 0.005 0.324
O3 0.050 0.526 0.847
O4 0.172 0.309 0.113
O5 0.186 0.844 0.099
O6 0.326 0.145 0.612
O7 0.330 0.657 0.611
O8 0.484 0.955 0.841
O9 0.488 0.522 0.844
O10 0.497 0.434 0.364
O11 0.515 0.012 0.340
O12 0.648 0.289 0.103
O13 0.679 0.845 0.098
O14 0.840 0.150 0.617
O15 0.851 0.674 0.607
O16 0.952 0.431 0.360

Properties
Calculated density, Mg/m³: 4.605
VASP energy, eV per formula unit: -187.8

---

No. 8
Compound: Li2V3SbO8
Source: Alexandria
Functional: GGA+U
Structure: optimized geometry

abc: 6.147 6.147 6.147
angles: 58.86 58.86 58.86
Sites, in units of the cell vectors:
Li1 0.131 0.131 0.131
Li2 0.869 0.869 0.869
V1 0.000 0.500 0.500
V2 0.500 0.000 0.500
V3 0.500 0.500 0.000
Sb1 0.500 0.500 0.500
O1 0.265 0.265 0.718
O2 0.265 0.718 0.265
O3 0.266 0.266 0.266
O4 0.282 0.735 0.735
O5 0.718 0.265 0.265
O6 0.734 0.734 0.734
O7 0.735 0.282 0.735
O8 0.735 0.735 0.282

Properties
Calculated density, Mg/m³: 4.323
E above lowest polymorph, eV per atom: 0.000

---

No. 9
Compound: LiSbWO6
Source: Alexandria
Functional: GGA+U
Structure: optimized geometry

abc: 4.782 4.782 9.141
angles: 90.00 90.00 90.00
Sites, in units of the cell vectors:
Li1 0.000 0.000 0.000
Li2 0.500 0.500 0.500
Sb1 0.000 0.000 0.328
Sb2 0.500 0.500 0.828
W1 0.000 0.000 0.670
W2 0.500 0.500 0.170
O1 0.184 0.184 0.502
O2 0.204 0.204 0.815
O3 0.208 0.208 0.175
O4 0.292 0.708 0.675
O5 0.296 0.704 0.315
O6 0.316 0.684 0.002
O7 0.684 0.316 0.002
O8 0.704 0.296 0.315
O9 0.708 0.292 0.675
O10 0.792 0.792 0.175
O11 0.796 0.796 0.815
O12 0.816 0.816 0.502

Properties
Calculated density, Mg/m³: 6.491
E above lowest polymorph, eV per atom: 0.005
Density of states at the Fermi level, states/eV/atom: 0.00

---

No. 10
Compound: LiSbWO6
Source: Alexandria
Functional: GGA+U
Structure: optimized geometry

abc: 7.371 7.371 10.322
angles: 90.00 90.00 90.00
Sites, in units of the cell vectors:
Li1 0.000 0.339 0.000
Li2 0.000 0.661 0.500
Li3 0.339 0.000 0.750
Li4 0.661 0.000 0.250
Sb1 0.000 0.240 0.500
Sb2 0.000 0.760 0.000
Sb3 0.240 0.000 0.250
Sb4 0.760 0.000 0.750
W1 0.245 0.500 0.250
W2 0.500 0.245 0.500
W3 0.500 0.755 0.000
W4 0.755 0.500 0.750
O1 0.044 0.044 0.375
O2 0.044 0.956 0.125
O3 0.058 0.448 0.381
O4 0.058 0.552 0.119
O5 0.236 0.257 0.184
O6 0.236 0.743 0.316
O7 0.257 0.236 0.566
O8 0.257 0.764 0.934
O9 0.428 0.428 0.375
O10 0.428 0.572 0.125
O11 0.448 0.058 0.369
O12 0.448 0.942 0.131
O13 0.552 0.058 0.631
O14 0.552 0.942 0.869
O15 0.572 0.428 0.625
O16 0.572 0.572 0.875
O17 0.743 0.236 0.434
O18 0.743 0.764 0.066
O19 0.764 0.257 0.816
O20 0.764 0.743 0.684
O21 0.942 0.448 0.619
O22 0.942 0.552 0.881
O23 0.956 0.044 0.625
O24 0.956 0.956 0.875

Properties
Calculated density, Mg/m³: 4.838
E above lowest polymorph, eV per atom: 0.030
Density of states at the Fermi level, states/eV/atom: 0.00

---

No. 11
Compound: LiSbWO6
Source: Alexandria
Functional: GGA+U
Structure: optimized geometry

abc: 7.314 7.314 7.314
angles: 121.01 119.03 89.98
Sites, in units of the cell vectors:
Li1 0.000 0.000 0.000
Li2 0.500 0.000 0.500
Sb1 0.500 0.000 0.000
Sb2 0.500 0.500 0.500
W1 0.000 0.500 0.500
W2 0.500 0.500 0.000
O1 0.178 0.427 0.362
O2 0.178 0.817 0.751
O3 0.195 0.445 0.750
O4 0.416 0.166 0.250
O5 0.434 0.183 0.862
O6 0.434 0.573 0.251
O7 0.566 0.427 0.749
O8 0.566 0.817 0.138
O9 0.584 0.834 0.750
O10 0.805 0.555 0.250
O11 0.822 0.183 0.249
O12 0.822 0.573 0.638

Properties
Calculated density, Mg/m³: 4.907
E above lowest polymorph, eV per atom: 0.045
Density of states at the Fermi level, states/eV/atom: 0.00

---

No. 12
Compound: LiSb2WO
Source: Alexandria
Functional: GGA+U
Structure: optimized geometry

abc: 5.288 5.288 3.924
angles: 90.00 90.00 90.00
Sites, in units of the cell vectors:
Li1 0.000 0.000 0.000
Sb1 0.000 0.500 0.500
Sb2 0.500 0.000 0.500
W1 0.500 0.500 0.000
O1 0.500 0.500 0.500

Properties
Calculated density, Mg/m³: 6.815
VASP energy, eV per formula unit: -22.2
Density of states at the Fermi level, states/eV/atom: 0.37

---

No. 13
Compound: LiSbWO6
Source: Alexandria
Functional: GGA+U
Structure: optimized geometry

abc: 4.758 17.735 5.093
angles: 90.00 90.00 90.00
Sites, in units of the cell vectors:
Li1 0.000 0.048 0.250
Li2 0.000 0.952 0.750
Li3 0.500 0.452 0.750
Li4 0.500 0.548 0.250
Sb1 0.000 0.282 0.750
Sb2 0.000 0.718 0.250
Sb3 0.500 0.218 0.250
Sb4 0.500 0.782 0.750
W1 0.000 0.397 0.250
W2 0.000 0.603 0.750
W3 0.500 0.103 0.750
W4 0.500 0.897 0.250
O1 0.206 0.364 0.561
O2 0.206 0.636 0.061
O3 0.240 0.293 0.080
O4 0.240 0.707 0.580
O5 0.246 0.042 0.606
O6 0.246 0.958 0.106
O7 0.254 0.458 0.106
O8 0.254 0.542 0.606
O9 0.260 0.207 0.580
O10 0.260 0.793 0.080
O11 0.294 0.136 0.061
O12 0.294 0.864 0.561
O13 0.706 0.136 0.439
O14 0.706 0.864 0.939
O15 0.740 0.207 0.920
O16 0.740 0.793 0.420
O17 0.746 0.458 0.394
O18 0.746 0.542 0.894
O19 0.754 0.042 0.894
O20 0.754 0.958 0.394
O21 0.760 0.293 0.420
O22 0.760 0.707 0.920
O23 0.794 0.364 0.939
O24 0.794 0.636 0.439

Properties
Calculated density, Mg/m³: 6.315
E above lowest polymorph, eV per atom: 0.000
Density of states at the Fermi level, states/eV/atom: 0.00

---

No. 14
Compound: LiSb2WO8
Source: Alexandria
Functional: GGA+U
Structure: optimized geometry

abc: 4.723 4.723 6.315
angles: 90.00 90.00 91.64
Sites, in units of the cell vectors:
Li1 0.000 0.000 0.000
Sb1 0.500 0.500 0.239
Sb2 0.500 0.500 0.761
W1 0.000 0.000 0.500
O1 0.201 0.201 0.265
O2 0.201 0.201 0.735
O3 0.301 0.699 0.500
O4 0.307 0.693 0.000
O5 0.693 0.307 0.000
O6 0.699 0.301 0.500
O7 0.799 0.799 0.265
O8 0.799 0.799 0.735

Properties
Calculated density, Mg/m³: 6.631
VASP energy, eV per formula unit: -76.8